Compound: YCoSi2Ir
Source: the Open Quantum Materials Database
Functional: PBE
Structure: relaxed

magnetic moment = 0.000 μB/atom
DFT total energy = -76.08 eV per cell

abc: 3.970 3.970 9.953
angles: 90.00 90.00 90.00
Space group I-4m2 (No. 119)
Symmetry-distinct sites (fractional):
1 Y 0.000 0.000 0.000 [2 per cell]
2 Co 0.000 0.500 0.750 [2 per cell]
3 Si 0.000 0.000 0.377 [4 per cell]
4 Ir 0.000 0.500 0.250 [2 per cell]

***

Compound: LuTaN2O
Source: the Open Quantum Materials Database
Functional: PBE
Structure: relaxed

magnetic moment = 0.000 μB/atom
DFT total energy = -382.87 eV per cell

abc: 7.805 7.797 10.840
angles: 90.00 133.55 90.00
Space group P2_1/c (No. 14)
Symmetry-distinct sites (fractional):
1 Lu 0.059 0.239 0.030 [4 per cell]
2 Lu 0.439 0.740 0.470 [4 per cell]
3 Ta 0.019 0.004 0.262 [4 per cell]
4 Ta 0.483 0.506 0.230 [4 per cell]
5 N 0.043 0.750 0.217 [4 per cell]
6 N 0.180 0.561 0.000 [4 per cell]
7 N 0.311 0.059 0.312 [4 per cell]
8 N 0.456 0.248 0.674 [4 per cell]
9 O 0.187 0.554 0.500 [4 per cell]
10 O 0.323 0.050 0.824 [4 per cell]

***

Compound: PrThHg6
Source: the Open Quantum Materials Database
Functional: PBE
Structure: relaxed

magnetic moment = 0.002 μB/atom
ΔH_f (0 K) = -0.3237 eV per atom
DFT total energy = -33.13 eV per cell

abc: 5.064 6.849 11.869
angles: 90.00 90.00 90.00
Space group Amm2 (No. 38)
Symmetry-distinct sites (fractional):
1 Pr 0.000 0.000 0.000 [2 per cell]
2 Th 0.500 0.000 0.332 [2 per cell]
3 Hg 0.000 0.000 0.501 [2 per cell]
4 Hg 0.000 0.245 0.748 [4 per cell]
5 Hg 0.500 0.000 0.828 [2 per cell]
6 Hg 0.500 0.241 0.586 [4 per cell]

***

Compound: TaNbZn
Source: the Open Quantum Materials Database
Functional: PBE
Structure: relaxed

magnetic moment = 0.001 μB/atom
ΔH_f (0 K) = 1.0849 eV per atom
excess energy over the best structure of this formula in the dataset = 0 meV per atom
DFT total energy = -79.83 eV per cell

abc: 6.290 6.290 6.290
angles: 90.00 90.00 90.00
Space group F-43m (No. 216)
Symmetry-distinct sites (fractional):
1 Ta 0.000 0.000 0.000 [4 per cell]
2 Nb 0.250 0.250 0.750 [4 per cell]
3 Zn 0.000 0.000 0.500 [4 per cell]

***

Compound: AsIrOsO
Source: the Open Quantum Materials Database
Functional: PBE
Structure: relaxed

magnetic moment = 0.000 μB/atom
excess energy over the best structure of this formula in the dataset = 259 meV per atom
DFT total energy = -56.76 eV per cell

abc: 4.181 4.181 6.205
angles: 90.00 90.00 90.00
Space group P4/nmm (No. 129, origin choice 2)
Symmetry-distinct sites (fractional):
1 As 0.250 0.250 0.204 [2 per cell]
2 Ir 0.250 0.250 0.603 [2 per cell]
3 Os 0.250 0.750 0.000 [2 per cell]
4 O 0.250 0.750 0.500 [2 per cell]

***

Compound: LiHfGaPd
Source: the Open Quantum Materials Database
Functional: PBE
Structure: relaxed

magnetic moment = 0.000 μB/atom
excess energy over the best structure of this formula in the dataset = 0 meV per atom
DFT total energy = -44.90 eV per cell

abc: 4.451 4.451 6.295
angles: 90.00 90.00 90.00
Space group P-4m2 (No. 115)
Symmetry-distinct sites (fractional):
1 Li 0.000 0.500 0.250 [2 per cell]
2 Hf 0.000 0.000 0.500 [1 per cell]
3 Hf 0.500 0.500 0.000 [1 per cell]
4 Ga 0.000 0.000 0.000 [1 per cell]
5 Ga 0.500 0.500 0.500 [1 per cell]
6 Pd 0.000 0.500 0.749 [2 per cell]

***

Compound: TaWS4
Source: the Open Quantum Materials Database
Functional: PBE
Structure: relaxed

magnetic moment = 0.002 μB/atom
excess energy over the best structure of this formula in the dataset = 0 meV per atom
DFT total energy = -93.74 eV per cell

abc: 3.269 13.301 5.677
angles: 90.00 90.00 90.00
Space group Cmm2 (No. 35)
Symmetry-distinct sites (fractional):
1 Ta 0.000 0.000 0.000 [2 per cell]
2 W 0.000 0.500 0.493 [2 per cell]
3 S 0.000 0.116 0.657 [4 per cell]
4 S 0.000 0.382 0.167 [4 per cell]

***

Compound: GdMgAs
Source: the Open Quantum Materials Database
Functional: PBE
Structure: relaxed

magnetic moment = 0.001 μB/atom
excess energy over the best structure of this formula in the dataset = 279 meV per atom
DFT total energy = -46.31 eV per cell

abc: 6.927 6.927 6.927
angles: 90.00 90.00 90.00
Space group F-43m (No. 216)
Symmetry-distinct sites (fractional):
1 Gd 0.000 0.000 0.000 [4 per cell]
2 Mg 0.250 0.250 0.250 [4 per cell]
3 As 0.250 0.250 0.750 [4 per cell]

***

Compound: RbPmB4
Source: the Open Quantum Materials Database
Functional: PBE
Structure: relaxed

magnetic moment = 0.005 μB/atom
excess energy over the best structure of this formula in the dataset = 43 meV per atom
DFT total energy = -31.25 eV per cell

abc: 3.2564 3.2564 9.3074
angles: 90.00 90.00 120.00
Space group P6/mmm (No. 191)
Symmetry-distinct sites (fractional):
1 Rb 0.0000 0.0000 0.0000 [1 per cell]
2 Pm 0.0000 0.0000 0.5000 [1 per cell]
3 B 0.3333 0.6667 0.2840 [4 per cell]

***

Compound: Zn2ReSi
Source: the Open Quantum Materials Database
Functional: PBE
Structure: relaxed

magnetic moment = 0.001 μB/atom
DFT total energy = -75.87 eV per cell

abc: 6.062 6.062 6.062
angles: 90.00 90.00 90.00
Space group F-43m (No. 216)
Symmetry-distinct sites (fractional):
1 Zn 0.000 0.000 0.000 [4 per cell]
2 Zn 0.250 0.250 0.250 [4 per cell]
3 Re 0.250 0.250 0.750 [4 per cell]
4 Si 0.000 0.000 0.500 [4 per cell]

***

Compound: ZrCuNiGe
Source: the Open Quantum Materials Database
Functional: PBE
Structure: relaxed

magnetic moment = 0.000 μB/atom
excess energy over the best structure of this formula in the dataset = 0 meV per atom
DFT total energy = -95.31 eV per cell

abc: 6.178 6.178 6.178
angles: 90.00 90.00 90.00
Space group F-43m (No. 216)
Symmetry-distinct sites (fractional):
1 Zr 0.000 0.000 0.000 [4 per cell]
2 Cu 0.250 0.250 0.750 [4 per cell]
3 Ni 0.250 0.250 0.250 [4 per cell]
4 Ge 0.000 0.000 0.500 [4 per cell]

***

Compound: AgSe
Source: the Open Quantum Materials Database
Functional: PBE
Structure: relaxed

DFT total energy = -25.33 eV per cell

abc: 10.999 3.905 3.878
angles: 90.00 90.00 90.00
Space group Pnma (No. 62)
Symmetry-distinct sites (fractional):
1 Ag 0.126 0.250 0.246 [4 per cell]
2 Se 0.124 0.750 0.746 [4 per cell]

***

Compound: Hg2GePt
Source: the Open Quantum Materials Database
Functional: PBE
Structure: relaxed

magnetic moment = 0.000 μB/atom
DFT total energy = -41.36 eV per cell

abc: 6.839 6.839 6.839
angles: 90.00 90.00 90.00
Space group F-43m (No. 216)
Symmetry-distinct sites (fractional):
1 Hg 0.000 0.000 0.000 [4 per cell]
2 Hg 0.250 0.250 0.250 [4 per cell]
3 Ge 0.000 0.000 0.500 [4 per cell]
4 Pt 0.250 0.250 0.750 [4 per cell]

***

Compound: GePtNO
Source: the Open Quantum Materials Database
Functional: PBE
Structure: relaxed

magnetic moment = 0.000 μB/atom
excess energy over the best structure of this formula in the dataset = 914 meV per atom
DFT total energy = -43.42 eV per cell

abc: 4.052 4.052 6.389
angles: 90.00 90.00 90.00
Space group P4/nmm (No. 129, origin choice 2)
Symmetry-distinct sites (fractional):
1 Ge 0.250 0.750 0.000 [2 per cell]
2 Pt 0.250 0.250 0.405 [2 per cell]
3 N 0.250 0.250 0.947 [2 per cell]
4 O 0.250 0.750 0.500 [2 per cell]

***

Compound: YZn2Cu
Source: the Open Quantum Materials Database
Functional: PBE
Structure: relaxed

magnetic moment = 0.001 μB/atom
ΔH_f (0 K) = -0.2622 eV per atom
DFT total energy = -55.04 eV per cell

abc: 6.526 6.526 6.526
angles: 90.00 90.00 90.00
Space group F-43m (No. 216)
Symmetry-distinct sites (fractional):
1 Y 0.000 0.000 0.000 [4 per cell]
2 Zn 0.000 0.000 0.500 [4 per cell]
3 Zn 0.250 0.250 0.250 [4 per cell]
4 Cu 0.250 0.250 0.750 [4 per cell]

***

Compound: Y3Zn2InAgAu2
Source: the Open Quantum Materials Database
Functional: PBE
Structure: relaxed

magnetic moment = 0.000 μB/atom
DFT total energy = -79.08 eV per cell

abc: 3.835 13.222 7.752
angles: 90.00 90.00 90.00
Space group Amm2 (No. 38)
Symmetry-distinct sites (fractional):
1 Y 0.000 0.000 0.000 [2 per cell]
2 Y 0.000 0.207 0.396 [4 per cell]
3 Zn 0.500 0.132 0.731 [4 per cell]
4 In 0.500 0.000 0.345 [2 per cell]
5 Ag 0.000 0.000 0.615 [2 per cell]
6 Au 0.500 0.168 0.098 [4 per cell]

***

Compound: LiSmGe
Source: the Open Quantum Materials Database
Functional: PBE
Structure: relaxed

magnetic moment = 0.000 μB/atom
DFT total energy = -45.81 eV per cell

abc: 6.773 6.773 6.773
angles: 90.00 90.00 90.00
Space group F-43m (No. 216)
Symmetry-distinct sites (fractional):
1 Li 0.000 0.000 0.000 [4 per cell]
2 Sm 0.250 0.250 0.750 [4 per cell]
3 Ge 0.000 0.000 0.500 [4 per cell]

***

Compound: Na2ZrTeO2
Source: the Open Quantum Materials Database
Functional: PBE
Structure: relaxed

magnetic moment = 0.000 μB/atom
DFT total energy = -141.19 eV per cell

abc: 6.141 11.548 7.153
angles: 90.00 113.11 90.00
Space group C2/m (No. 12)
Symmetry-distinct sites (fractional):
1 Na 0.000 0.000 0.000 [2 per cell]
2 Na 0.000 0.215 0.500 [4 per cell]
3 Na 0.000 0.500 0.500 [2 per cell]
4 Zr 0.000 0.298 0.000 [4 per cell]
5 Te 0.244 0.000 0.742 [4 per cell]
6 O 0.220 0.302 0.823 [8 per cell]

***

Compound: U6BiIr
Source: the Open Quantum Materials Database
Functional: PBE
Structure: relaxed

magnetic moment = 0.809 μB/atom
DFT total energy = -239.10 eV per cell

abc: 8.3634 8.3634 8.7555
angles: 90.00 90.00 120.00
Space group R-3 (No. 148, hexagonal axes)
Symmetry-distinct sites (fractional):
1 U 0.0201 0.2942 0.2636 [18 per cell]
2 Bi 0.0000 0.0000 0.0000 [3 per cell]
3 Ir 0.0000 0.0000 0.5000 [3 per cell]

***

Compound: Lu2ScGe
Source: the Open Quantum Materials Database
Functional: PBE
Structure: relaxed

magnetic moment = 0.176 μB/atom
DFT total energy = -81.55 eV per cell

abc: 7.150 7.150 7.150
angles: 90.00 90.00 90.00
Space group F-43m (No. 216)
Symmetry-distinct sites (fractional):
1 Lu 0.000 0.000 0.000 [4 per cell]
2 Lu 0.250 0.250 0.250 [4 per cell]
3 Sc 0.250 0.250 0.750 [4 per cell]
4 Ge 0.000 0.000 0.500 [4 per cell]

***

Compound: TbNdI6
Source: the Open Quantum Materials Database
Functional: PBE
Structure: relaxed

magnetic moment = 0.002 μB/atom
DFT total energy = -59.97 eV per cell

abc: 7.763 13.468 7.722
angles: 90.00 109.19 90.00
Space group C2 (No. 5)
Symmetry-distinct sites (fractional):
1 Tb 0.000 0.000 0.000 [2 per cell]
2 Nd 0.000 0.668 0.000 [2 per cell]
3 I 0.227 0.838 0.248 [4 per cell]
4 I 0.241 0.007 0.757 [4 per cell]
5 I 0.247 0.157 0.243 [4 per cell]

***

Compound: Na6CdGa2
Source: the Open Quantum Materials Database
Functional: PBE
Structure: relaxed

DFT total energy = -30.13 eV per cell

abc: 9.857 5.249 9.625
angles: 90.00 100.26 90.00
Space group C2/m (No. 12)
Symmetry-distinct sites (fractional):
1 Na 0.035 0.000 0.219 [4 per cell]
2 Na 0.178 0.500 0.082 [4 per cell]
3 Na 0.198 0.000 0.576 [4 per cell]
4 Cd 0.000 0.500 0.500 [2 per cell]
5 Ga 0.145 0.500 0.763 [4 per cell]

***

Compound: BaLuBeAu
Source: the Open Quantum Materials Database
Functional: PBE
Structure: relaxed

magnetic moment = 0.000 μB/atom
excess energy over the best structure of this formula in the dataset = 130 meV per atom
DFT total energy = -51.29 eV per cell

abc: 7.111 7.111 7.111
angles: 90.00 90.00 90.00
Space group F-43m (No. 216)
Symmetry-distinct sites (fractional):
1 Ba 0.000 0.000 0.000 [4 per cell]
2 Lu 0.250 0.250 0.750 [4 per cell]
3 Be 0.250 0.250 0.250 [4 per cell]
4 Au 0.000 0.000 0.500 [4 per cell]

***

Compound: CsNdTe4Au3
Source: the Open Quantum Materials Database
Functional: PBE
Structure: relaxed

magnetic moment = 0.009 μB/atom
DFT total energy = -31.09 eV per cell

abc: 7.132 7.132 7.132
angles: 90.00 90.00 90.00
Space group P-43m (No. 215)
Symmetry-distinct sites (fractional):
1 Cs 0.000 0.000 0.000 [1 per cell]
2 Nd 0.500 0.500 0.500 [1 per cell]
3 Te 0.268 0.268 0.268 [4 per cell]
4 Au 0.000 0.500 0.500 [3 per cell]

***

Compound: SrTbPd2
Source: the Open Quantum Materials Database
Functional: PBE
Structure: relaxed

magnetic moment = 0.001 μB/atom
DFT total energy = -38.98 eV per cell

abc: 4.567 3.885 11.091
angles: 90.00 90.00 90.00
Space group Amm2 (No. 38)
Symmetry-distinct sites (fractional):
1 Sr 0.000 0.000 0.000 [2 per cell]
2 Tb 0.500 0.000 0.273 [2 per cell]
3 Pd 0.000 0.000 0.728 [2 per cell]
4 Pd 0.500 0.000 0.568 [2 per cell]